1.
Compound: CaAl2Te
Source: Alexandria
Functional: PBE-GGA
Structure: relaxed

Unit cell a=3.7625 b=3.7625 c=6.9470 alpha=90.00 beta=90.00 gamma=90.00
Closest atoms and distances in Å follow each position.
Space group P4/mmm (No. 123)
One atom of each set of equivalent atoms:
1 Ca 0.0000 0.0000 0.0000  8 Al 3.32, 2 Te 3.47
2 Al 0.5000 0.5000 0.2859  1 Al 2.98, 4 Te 3.05, 4 Ca 3.32
3 Te 0.0000 0.0000 0.5000  8 Al 3.05

Values from the calculation:
crystal system = tetragonal
ΔE_f (raw) = -0.12 eV/atom


2.
Compound: CdAgI2N
Source: Alexandria
Functional: PBE-GGA
Structure: relaxed

Unit cell a=5.9231 b=5.9231 c=4.1273 alpha=90.00 beta=90.00 gamma=90.00
Closest atoms and distances in Å follow each position.
Space group P4/mmm (No. 123)
One atom of each set of equivalent atoms:
1 Cd 0.0000 0.0000 0.0000  8 I 3.61
2 Ag 0.5000 0.5000 0.5000  2 N 2.06
3 I 0.0000 0.5000 0.5000  2 Ag 2.96
4 N 0.5000 0.5000 0.0000  2 Ag 2.06

Values from the calculation:
distance to the lowest polymorph of the same formula = 0.241 eV per formula unit
crystal system = tetragonal
ΔE_f (raw) = 0.77 eV/atom


3.
Compound: CaHg2Au2
Source: Alexandria
Functional: PBE-GGA
Structure: relaxed

Unit cell a=4.2596 b=4.2596 c=13.4362 alpha=90.00 beta=90.00 gamma=90.00
Closest atoms and distances in Å follow each position.
Space group I4/mmm (No. 139)
One atom of each set of equivalent atoms:
1 Ca 0.0000 0.0000 0.0000  8 Au 3.29
2 Hg 0.0000 0.5000 0.2500  4 Au 2.94, 4 Hg 3.01
3 Au 0.0000 0.0000 0.4008  1 Au 2.67, 4 Hg 2.94

Values from the calculation:
distance to the lowest polymorph of the same formula = 0.098 eV per formula unit
crystal system = tetragonal
E_form = -0.36 eV/atom


4.
Compound: NaBeGaAu6
Source: Alexandria
Functional: PBE-GGA
Structure: relaxed

Unit cell a=6.6940 b=9.0093 c=11.1588 alpha=90.00 beta=90.00 gamma=90.00
Closest atoms and distances in Å follow each position.
Space group Imma (No. 74)
One atom of each set of equivalent atoms:
1 Na 0.0000 0.2500 0.2134  10 Au 3.02-3.21, 2 Be 3.28
2 Be 0.0000 0.0000 0.0000  6 Au 2.36-2.37
3 Ga 0.2500 0.2500 0.7500  6 Au 2.66-2.69
4 Au 0.0000 0.2500 0.4843  8 Au 2.93-3.11, 1 Na 3.02
5 Au 0.0000 0.2500 0.9382  2 Be 2.36
6 Au 0.2153 0.0014 0.3741  1 Be 2.37

Values from the calculation:
crystal system = orthorhombic
E_form = -0.09 eV/atom


5.
Compound: Sm2AgSn
Source: Alexandria
Functional: PBE-GGA
Structure: relaxed

Unit cell a=7.5494 b=7.5494 c=7.5494 alpha=90.00 beta=90.00 gamma=90.00
Closest atoms and distances in Å follow each position.
Space group Fm-3m (No. 225)
One atom of each set of equivalent atoms:
1 Sm 0.2500 0.2500 0.2500  4 Sn 3.27, 4 Ag 3.27
2 Ag 0.0000 0.0000 0.0000  8 Sm 3.27
3 Sn 0.0000 0.0000 0.5000  8 Sm 3.27

Values from the calculation:
distance to the lowest polymorph of the same formula = 0.000 eV per formula unit
crystal system = cubic
E_form = -0.52 eV/atom


6.
Compound: CdSi2Tc
Source: Alexandria
Functional: PBE-GGA
Structure: relaxed

Unit cell a=3.3444 b=4.7358 c=8.5946 alpha=90.00 beta=90.00 gamma=90.00
Closest atoms and distances in Å follow each position.
Space group Cmmm (No. 65)
One atom of each set of equivalent atoms:
1 Cd 0.0000 0.0000 0.0000  4 Cd 2.90, 4 Si 3.03
2 Si 0.0000 0.5000 0.2935  2 Tc 2.44
3 Tc 0.0000 0.0000 0.5000  4 Si 2.44

Values from the calculation:
crystal system = orthorhombic
ΔE_f (raw) = 0.24 eV/atom


7.
Compound: PuRuN2
Source: Alexandria
Functional: PBE-GGA
Structure: relaxed

Unit cell a=3.3978 b=3.3978 c=14.0535 alpha=90.00 beta=90.00 gamma=120.00
Closest atoms and distances in Å follow each position.
Space group R-3m (No. 166, hexagonal axes)
One atom of each set of equivalent atoms:
1 Pu 0.0000 0.0000 0.0000  6 N 2.37
2 Ru 0.0000 0.0000 0.5000  6 N 2.21
3 N 0.0000 0.0000 0.2388  3 Ru 2.21, 3 Pu 2.37

Values from the calculation:
crystal system = trigonal
ΔE_f (raw) = -0.59 eV/atom


8.
Compound: Si2RuBr
Source: Alexandria
Functional: PBE-GGA
Structure: relaxed

Unit cell a=4.0482 b=4.0482 c=7.8299 alpha=90.00 beta=90.00 gamma=90.00
Closest atoms and distances in Å follow each position.
Space group I4/mmm (No. 139)
One atom of each set of equivalent atoms:
1 Si 0.0000 0.5000 0.2500  4 Br 2.82, 4 Ru 2.82, 4 Si 2.86
2 Ru 0.0000 0.0000 0.0000  8 Si 2.82, 4 Br 2.86
3 Br 0.0000 0.0000 0.5000  8 Si 2.82, 4 Ru 2.86

Values from the calculation:
distance to the lowest polymorph of the same formula = 2.764 eV per formula unit
crystal system = tetragonal
ΔE_f (raw) = 0.72 eV/atom


9.
Compound: SmNb2Os2
Source: Alexandria
Functional: PBE-GGA
Structure: relaxed

Unit cell a=4.4201 b=4.4201 c=10.6885 alpha=90.00 beta=90.00 gamma=90.00
Closest atoms and distances in Å follow each position.
Space group I4/mmm (No. 139)
One atom of each set of equivalent atoms:
1 Sm 0.0000 0.0000 0.0000  8 Os 3.37, 8 Nb 3.47
2 Nb 0.0000 0.5000 0.2500  4 Os 2.62
3 Os 0.0000 0.0000 0.3810  1 Os 2.54, 4 Nb 2.62

Values from the calculation:
crystal system = tetragonal
E_form = -0.24 eV/atom


10.
Compound: LiTbHo2
Source: Alexandria
Functional: PBE-GGA
Structure: relaxed

Unit cell a=7.7218 b=7.7218 c=7.7218 alpha=90.00 beta=90.00 gamma=90.00
Closest atoms and distances in Å follow each position.
Space group Fm-3m (No. 225)
One atom of each set of equivalent atoms:
1 Li 0.0000 0.0000 0.0000  8 Ho 3.34
2 Tb 0.0000 0.0000 0.5000  8 Ho 3.34
3 Ho 0.2500 0.2500 0.2500  4 Tb 3.34, 4 Li 3.34

Values from the calculation:
distance to the lowest polymorph of the same formula = 0.464 eV per formula unit
crystal system = cubic
E_form = 0.19 eV/atom


11.
Compound: AlSiPb2
Source: Alexandria
Functional: PBE-GGA
Structure: relaxed

Unit cell a=7.3619 b=7.3619 c=7.3619 alpha=90.00 beta=90.00 gamma=90.00
Closest atoms and distances in Å follow each position.
Space group F-43m (No. 216)
One atom of each set of equivalent atoms:
1 Al 0.0000 0.0000 0.0000  4 Pb 3.19, 4 Si 3.19
2 Si 0.2500 0.2500 0.2500  4 Pb 3.19, 4 Al 3.19
3 Pb 0.0000 0.0000 0.5000  4 Pb 3.19, 4 Si 3.19
4 Pb 0.2500 0.2500 0.7500  4 Pb 3.19, 4 Al 3.19

Values from the calculation:
crystal system = cubic
ΔE_f (raw) = 0.49 eV/atom


12.
Compound: Rh
Source: Alexandria
Functional: PBE-GGA
Structure: relaxed

Unit cell a=6.7939 b=6.7939 c=6.7939 alpha=90.00 beta=90.00 gamma=90.00
Closest atoms and distances in Å follow each position.
Space group Im-3m (No. 229)
One atom of each set of equivalent atoms:
1 Rh 0.0000 0.2500 0.5000  4 Rh 2.40

Values from the calculation:
distance to the lowest polymorph of the same formula = 1.266 eV per formula unit
crystal system = cubic
E_form = 1.27 eV/atom


13.
Compound: TlIn2CuHg
Source: Alexandria
Functional: PBE-GGA
Structure: relaxed

Unit cell a=5.0830 b=5.0830 c=5.4216 alpha=90.00 beta=90.00 gamma=90.00
Closest atoms and distances in Å follow each position.
Space group P4/mmm (No. 123)
One atom of each set of equivalent atoms:
1 Tl 0.0000 0.0000 0.0000  2 Cu 2.71
2 In 0.0000 0.5000 0.5000  2 Cu 2.54
3 Cu 0.0000 0.0000 0.5000  4 In 2.54, 2 Tl 2.71
4 Hg 0.5000 0.5000 0.0000  4 Tl 3.59, 8 In 3.72

Values from the calculation:
distance to the lowest polymorph of the same formula = 0.030 eV per formula unit
crystal system = tetragonal
E_form = 0.13 eV/atom


14.
Compound: CsLi2ScOs
Source: Alexandria
Functional: PBE-GGA
Structure: relaxed

Unit cell a=5.8210 b=5.8210 c=4.7625 alpha=90.00 beta=90.00 gamma=90.00
Closest atoms and distances in Å follow each position.
Space group P4/mmm (No. 123)
One atom of each set of equivalent atoms:
1 Cs 0.0000 0.0000 0.0000  8 Li 3.76, 4 Os 4.12
2 Li 0.0000 0.5000 0.5000  2 Sc 2.91
3 Sc 0.5000 0.5000 0.5000  2 Os 2.38
4 Os 0.5000 0.5000 0.0000  2 Sc 2.38

Values from the calculation:
crystal system = tetragonal
E_form = 0.92 eV/atom


15.
Compound: NaInI2O
Source: Alexandria
Functional: PBE-GGA
Structure: relaxed

Unit cell a=6.0313 b=6.0313 c=4.2977 alpha=90.00 beta=90.00 gamma=90.00
Closest atoms and distances in Å follow each position.
Space group P4/mmm (No. 123)
One atom of each set of equivalent atoms:
1 Na 0.0000 0.0000 0.0000  2 O 2.15
2 In 0.5000 0.5000 0.5000  8 I 3.70
3 I 0.0000 0.5000 0.0000  2 Na 3.02
4 O 0.0000 0.0000 0.5000  2 Na 2.15

Values from the calculation:
distance to the lowest polymorph of the same formula = 3.691 eV per formula unit
crystal system = tetragonal
ΔE_f (raw) = -0.07 eV/atom


16.
Compound: TiCo2Tc
Source: Alexandria
Functional: PBE-GGA
Structure: relaxed

Unit cell a=3.7301 b=3.7301 c=3.6254 alpha=90.00 beta=90.00 gamma=90.00
Closest atoms and distances in Å follow each position.
Space group P4/mmm (No. 123)
One atom of each set of equivalent atoms:
1 Ti 0.0000 0.0000 0.0000  8 Co 2.60, 4 Tc 2.64
2 Co 0.0000 0.5000 0.5000  4 Tc 2.60, 4 Ti 2.60, 4 Co 2.64
3 Tc 0.5000 0.5000 0.0000  8 Co 2.60, 4 Ti 2.64

Values from the calculation:
distance to the lowest polymorph of the same formula = 0.000 eV per formula unit
crystal system = tetragonal
E_form = -0.16 eV/atom


17.
Compound: TcHg2Os
Source: Alexandria
Functional: PBE-GGA
Structure: relaxed

Unit cell a=2.9198 b=2.9070 c=8.7049 alpha=90.00 beta=95.07 gamma=90.00
Closest atoms and distances in Å follow each position.
Space group Pm (No. 6)
One atom of each set of equivalent atoms:
1 Tc 0.0000 0.0000 0.0000  4 Os 2.56-2.57
2 Hg 0.1208 0.0000 0.4331  6 Hg 2.91-3.14, 4 Os 3.03-3.04
3 Hg 0.4294 0.5000 0.7453  6 Hg 2.91-3.14, 4 Tc 3.02-3.03
4 Os 0.5481 0.5000 0.1765  4 Tc 2.56-2.57

Values from the calculation:
distance to the lowest polymorph of the same formula = 0.000 eV per formula unit
crystal system = monoclinic
E_form = 0.32 eV/atom


18.
Compound: NdSnP2O8
Source: Alexandria
Functional: PBE-GGA
Structure: relaxed

Unit cell a=5.4372 b=5.4372 c=17.2725 alpha=90.00 beta=90.00 gamma=120.00
Closest atoms and distances in Å follow each position.
Space group R-3 (No. 148, hexagonal axes)
One atom of each set of equivalent atoms:
1 Nd 0.0000 0.0000 0.0000  2 O 2.34
2 Sn 0.0000 0.0000 0.5000  6 O 2.29
3 P 0.0000 0.0000 0.2242  4 O 1.53-1.56
4 O 0.0000 0.0000 0.1356  1 P 1.53
5 O 0.0234 0.5095 0.9231  1 P 1.56

Values from the calculation:
crystal system = trigonal
ΔE_f (raw) = -2.26 eV/atom


19.
Compound: HPbS3
Source: Alexandria
Functional: PBE-GGA
Structure: relaxed

Unit cell a=5.3088 b=5.3088 c=5.3088 alpha=90.00 beta=90.00 gamma=90.00
Closest atoms and distances in Å follow each position.
Space group Pm-3m (No. 221)
One atom of each set of equivalent atoms:
1 H 0.0000 0.0000 0.0000  12 S 3.75
2 Pb 0.5000 0.5000 0.5000  6 S 2.65
3 S 0.0000 0.5000 0.5000  2 Pb 2.65

Values from the calculation:
distance to the lowest polymorph of the same formula = 2.538 eV per formula unit
crystal system = cubic


20.
Compound: DyPd3Pt2
Source: Alexandria
Functional: PBE-GGA
Structure: relaxed

Unit cell a=5.6708 b=14.1067 c=5.2823 alpha=90.00 beta=90.00 gamma=90.00
Closest atoms and distances in Å follow each position.
Space group Cmcm (No. 63)
One atom of each set of equivalent atoms:
1 Dy 0.0000 0.1563 0.2500  8 Pd 2.83-3.00, 4 Pt 2.96
2 Pd 0.0000 0.3415 0.7500  6 Pd 2.79-3.01, 2 Dy 2.84, 4 Pt 2.93
3 Pd 0.2479 0.1703 0.7500  2 Pt 2.74, 5 Pd 2.79-3.01, 3 Dy 2.83-3.00
4 Pt 0.2407 0.5000 0.0000  4 Pt 2.64-2.94, 4 Pd 2.74-2.93

Values from the calculation:
distance to the lowest polymorph of the same formula = 0.870 eV per formula unit
crystal system = orthorhombic
E_form = -0.46 eV/atom